(1)
Below is crystalline CePr2TmS4 at its relaxed geometry, with properties calculated at the PBE level.

Cell and atoms, written as extended XYZ:
```
8
Lattice="6.979 0.000 0.000 0.000 3.990 0.000 -2.279 0.000 6.604" Properties=species:S:1:pos:R:3 pbc="T T T"
Ce 0.000 0.000 0.000
Pr -1.139 1.995 3.302
Pr 2.350 0.000 3.302
Tm 3.490 1.995 0.000
S 1.232 1.995 1.564
S 0.092 0.000 5.080
S 4.609 0.000 1.524
S 3.469 1.995 5.040
```

* SG: P2/m (10)
* formation energy without anion corrections: -2.007 eV/atom



(2)
Below is crystalline Li2Sm3Pb6 at its relaxed geometry, with properties calculated at the PBE level.

Cell and atoms, written as extended XYZ:
```
11
Lattice="-2.480 2.480 12.494 2.480 -2.480 12.494 2.480 2.480 -12.494" Properties=species:S:1:pos:R:3 pbc="T T T"
Li 0.000 0.000 1.179
Li 0.000 0.000 23.808
Sm 0.000 0.000 7.869
Sm 0.000 0.000 12.494
Sm 0.000 0.000 17.118
Pb 2.480 0.000 2.370
Pb 0.000 0.000 4.732
Pb 2.480 0.000 10.124
Pb 0.000 2.480 2.370
Pb 0.000 0.000 20.255
Pb 0.000 2.480 10.124
```

* SG: I4/mmm (139)
* energy of formation: -271 meV per atom



(3)
Below is crystalline Tl2CdPt at its relaxed geometry, with properties calculated at the PBE level.

Cell and atoms, written as extended XYZ:
```
4
Lattice="3.351 0.000 0.000 0.000 3.351 0.000 0.000 0.000 8.578" Properties=species:S:1:pos:R:3 pbc="T T T"
Tl 0.000 0.000 0.000
Tl 1.676 1.676 2.777
Cd 0.000 0.000 5.188
Pt 1.676 1.676 6.745
```

* ΔE to the lowest computed polymorph: 0.85 kcal/mol of atoms
* SG: P4mm (99)
* energy of formation: -40 meV per atom



(4)
Below is crystalline AcSmTh2 at its relaxed geometry, with properties calculated at the PBE level.

Cell and atoms, written as extended XYZ:
```
12
Lattice="3.677 0.000 0.000 -1.838 3.184 0.000 0.000 0.000 36.090" Properties=species:S:1:pos:R:3 pbc="T T T"
Ac 0.000 0.000 0.000
Ac 0.000 2.123 24.060
Ac 1.838 1.061 12.030
Sm 0.000 0.000 29.995
Sm 0.000 2.123 17.965
Sm 1.838 1.061 5.936
Th 0.000 0.000 15.074
Th 0.000 0.000 20.919
Th 0.000 2.123 3.044
Th 0.000 2.123 8.889
Th 1.838 1.061 27.104
Th 1.838 1.061 32.949
```

* ΔE to the lowest computed polymorph: 0.00 kcal/mol of atoms
* SG: R3m (160)
* energy of formation: 114 meV per atom